Record 1
Here is a relaxed Li2Zn3Cu5 crystal from Alexandria via LeMat-Bulk. Energies are from PBE.

Unit cell a=8.6369 b=12.0930 c=5.1344 alpha=90.00 beta=94.29 gamma=90.00
Space group C2/c (No. 15)
Unique sites:
Li: 0.1246 0.2475 0.1216 [8 per cell]
Zn: 0.0000 0.4598 0.2500 [4 per cell]
Zn: 0.1304 0.1490 0.6175 [8 per cell]
Cu: 0.0000 0.0339 0.2500 [4 per cell]
Cu: 0.1232 0.3507 0.6334 [8 per cell]
Cu: 0.2494 0.0356 0.0002 [8 per cell]

Properties
The theoretical density comes out at 6556 kg/m³. For the formation energy, the calculation gives -7.8 kJ per mole of atoms. The calculation puts the total DFT energy (no corrections) at -2.89 eV/atom.

---

Record 2
Here is a relaxed Li12ZnCu7 crystal from Alexandria via LeMat-Bulk. Energies are from PBE.

Unit cell a=9.3824 b=9.3824 c=11.3381 alpha=90.00 beta=90.00 gamma=120.00
Space group R-3 (No. 148, hexagonal axes)
Unique sites:
Li: 0.0310 0.5812 0.2105 [18 per cell]
Li: 0.0659 0.4708 0.5827 [18 per cell]
Zn: 0.0000 0.0000 0.5000 [3 per cell]
Cu: 0.0000 0.0000 0.0000 [3 per cell]
Cu: 0.0555 0.8729 0.3140 [18 per cell]

Properties
The theoretical density comes out at 3421 kg/m³. For the formation energy, the calculation gives 7.0 kJ per mole of atoms. The calculation puts the total DFT energy (no corrections) at -2.57 eV/atom.

---

Record 3
Here is a relaxed Li2Zn3Cu3 crystal from Alexandria via LeMat-Bulk. Energies are from PBE.

Unit cell a=4.0864 b=4.1430 c=12.4231 alpha=90.00 beta=90.00 gamma=90.00
Space group Immm (No. 71)
Unique sites:
Li: 0.0000 0.0000 0.2491 [4 per cell]
Zn: 0.0000 0.0000 0.5000 [2 per cell]
Zn: 0.0000 0.5000 0.3713 [4 per cell]
Cu: 0.0000 0.0000 0.0000 [2 per cell]
Cu: 0.0000 0.5000 0.1224 [4 per cell]

Properties
The theoretical density comes out at 6328 kg/m³. The relative energy among the computed polymorphs is 0 meV per atom. For the formation energy, the calculation gives -7.9 kJ per mole of atoms. The calculation puts the total DFT energy (no corrections) at -2.57 eV/atom.

---

Record 4
Here is a relaxed LiZn7Cu4 crystal from Alexandria via LeMat-Bulk. Energies are from PBE.

Unit cell a=4.2152 b=4.2152 c=10.4349 alpha=90.00 beta=90.00 gamma=120.00
Space group P-3m1 (No. 164)
Unique sites:
Li: 0.0000 0.0000 0.0000 [1 per cell]
Zn: 0.0000 0.0000 0.2424 [2 per cell]
Zn: 0.0000 0.0000 0.5000 [1 per cell]
Zn: 0.3333 0.6667 0.6620 [2 per cell]
Zn: 0.3333 0.6667 0.9206 [2 per cell]
Cu: 0.3333 0.6667 0.1680 [2 per cell]
Cu: 0.3333 0.6667 0.4169 [2 per cell]

Properties
The theoretical density comes out at 7436 kg/m³. The relative energy among the computed polymorphs is 0 meV per atom. For the formation energy, the calculation gives -9.2 kJ per mole of atoms. The calculation puts the total DFT energy (no corrections) at -2.36 eV/atom.

---

Record 5
Here is a relaxed LiZn2Cu crystal from Alexandria via LeMat-Bulk. Energies are from PBE.

Unit cell a=2.6340 b=3.8981 c=5.3094 alpha=90.00 beta=90.00 gamma=90.00
Space group Pmm2 (No. 25)
Unique sites:
Li: 0.0000 0.0000 0.0000 [1 per cell]
Zn: 0.0000 0.0000 0.5159 [1 per cell]
Zn: 0.5000 0.5000 0.2505 [1 per cell]
Cu: 0.5000 0.5000 0.7516 [1 per cell]

Properties
The theoretical density comes out at 6132 kg/m³. For the formation energy, the calculation gives -11.6 kJ per mole of atoms. The calculation puts the total DFT energy (no corrections) at -2.26 eV/atom.

---

Record 6
Here is a relaxed LiZnCu5 crystal from Alexandria via LeMat-Bulk. Energies are from PBE.

Unit cell a=4.6738 b=4.8555 c=8.4162 alpha=90.00 beta=90.00 gamma=90.00
Space group Imm2 (No. 44)
Unique sites:
Li: 0.0000 0.0000 0.0000 [2 per cell]
Zn: 0.0000 0.5000 0.3019 [2 per cell]
Cu: 0.0000 0.0000 0.2743 [2 per cell]
Cu: 0.0000 0.2569 0.7473 [4 per cell]
Cu: 0.2473 0.5000 0.0225 [4 per cell]

Properties
The theoretical density comes out at 6783 kg/m³. The relative energy among the computed polymorphs is 69 meV per atom. For the formation energy, the calculation gives 11.0 kJ per mole of atoms. The calculation puts the total DFT energy (no corrections) at -3.27 eV/atom.

---

Record 7
Here is a relaxed LiZnCu crystal from Alexandria via LeMat-Bulk. Energies are from PBE.

Unit cell a=2.5939 b=3.8887 c=7.9081 alpha=90.00 beta=90.00 gamma=90.00
Space group Imm2 (No. 44)
Unique sites:
Li: 0.0000 0.0000 0.0000 [2 per cell]
Zn: 0.0000 0.0000 0.6730 [2 per cell]
Cu: 0.0000 0.0000 0.3297 [2 per cell]

Properties
The theoretical density comes out at 5658 kg/m³. The relative energy among the computed polymorphs is 12 meV per atom. For the formation energy, the calculation gives -12.8 kJ per mole of atoms. The calculation puts the total DFT energy (no corrections) at -2.56 eV/atom.

---

Record 8
Here is a relaxed Li2Zn6Cu crystal from Alexandria via LeMat-Bulk. Energies are from PBE.

Unit cell a=2.7464 b=6.8023 c=7.1153 alpha=82.01 beta=79.30 gamma=78.44
Space group P-1 (No. 2)
Unique sites:
Li: 0.0298 0.1674 0.2619 [2 per cell]
Zn: 0.3031 0.8307 0.0721 [2 per cell]
Zn: 0.3364 0.4984 0.3282 [2 per cell]
Zn: 0.3688 0.1634 0.5941 [2 per cell]
Cu: 0.0000 0.5000 0.0000 [1 per cell]

Properties
The theoretical density comes out at 6132 kg/m³. The relative energy among the computed polymorphs is 0 meV per atom. For the formation energy, the calculation gives -12.2 kJ per mole of atoms. The calculation puts the total DFT energy (no corrections) at -1.86 eV/atom.

---

Record 9
Here is a relaxed LiZn6Cu2 crystal from Alexandria via LeMat-Bulk. Energies are from PBE.

Unit cell a=5.2424 b=5.2424 c=6.6091 alpha=90.00 beta=90.00 gamma=120.00
Space group P6/mmm (No. 191)
Unique sites:
Li: 0.0000 0.0000 0.0000 [1 per cell]
Zn: 0.0000 0.5000 0.1960 [6 per cell]
Cu: 0.3333 0.6667 0.5000 [2 per cell]

Properties
The theoretical density comes out at 5558 kg/m³. The relative energy among the computed polymorphs is 165 meV per atom. For the formation energy, the calculation gives 7.8 kJ per mole of atoms. The calculation puts the total DFT energy (no corrections) at -1.89 eV/atom.

---

Record 10
Here is a relaxed LiZn2Cu crystal from Alexandria via LeMat-Bulk. Energies are from PBE.

Unit cell a=3.0063 b=3.0063 c=6.0248 alpha=90.00 beta=90.00 gamma=90.00
Space group P4mm (No. 99)
Unique sites:
Li: 0.0000 0.0000 0.0000 [1 per cell]
Zn: 0.0000 0.0000 0.5259 [1 per cell]
Zn: 0.5000 0.5000 0.2533 [1 per cell]
Cu: 0.5000 0.5000 0.7639 [1 per cell]

Properties
The theoretical density comes out at 6139 kg/m³. For the formation energy, the calculation gives -9.2 kJ per mole of atoms. The calculation puts the total DFT energy (no corrections) at -2.23 eV/atom.

---

Record 11
Here is a relaxed LiZn5Cu8 crystal from Alexandria via LeMat-Bulk. Energies are from PBE.

Unit cell a=7.0212 b=7.0212 c=7.8957 alpha=90.00 beta=90.00 gamma=90.00
Space group I-4 (No. 82)
Unique sites:
Li: 0.0000 0.0000 0.0000 [2 per cell]
Zn: 0.0000 0.5000 0.2500 [2 per cell]
Zn: 0.1381 0.7201 0.6814 [8 per cell]
Cu: 0.0767 0.8306 0.3744 [8 per cell]
Cu: 0.0892 0.6578 0.9907 [8 per cell]

Properties
The theoretical density comes out at 7187 kg/m³. For the formation energy, the calculation gives 3.5 kJ per mole of atoms. The calculation puts the total DFT energy (no corrections) at -2.90 eV/atom.

---

Record 12
Here is a relaxed Li2ZnCu2 crystal from Alexandria via LeMat-Bulk. Energies are from PBE.

Unit cell a=6.4329 b=6.4329 c=3.4712 alpha=90.00 beta=90.00 gamma=90.00
Space group P4/mbm (No. 127)
Unique sites:
Li: 0.1668 0.3332 0.0000 [4 per cell]
Zn: 0.0000 0.0000 0.5000 [2 per cell]
Cu: 0.1339 0.6339 0.5000 [4 per cell]

Properties
The theoretical density comes out at 4772 kg/m³. The relative energy among the computed polymorphs is 97 meV per atom. For the formation energy, the calculation gives -1.1 kJ per mole of atoms. The calculation puts the total DFT energy (no corrections) at -2.67 eV/atom.